A relaxed Pm3Nd3Ni2 crystal. Source: Alexandria via LeMat-Bulk, functional PBE-GGA.

Its space group is Cmcm (63). The value obtained for the calculated formation energy is -90 meV/atom.

Cell: 6.917 6.917 18.708 Å, 90.00 90.00 148.41°
Fractional coordinates of all 16 atoms:
Pm1 0.087 0.913 0.750
Pm2 0.170 0.830 0.059
Pm3 0.170 0.830 0.441
Pm4 0.830 0.170 0.559
Pm5 0.830 0.170 0.941
Pm6 0.913 0.087 0.250
Nd1 0.186 0.814 0.250
Nd2 0.439 0.561 0.093
Nd3 0.439 0.561 0.407
Nd4 0.561 0.439 0.593
Nd5 0.561 0.439 0.907
Nd6 0.814 0.186 0.750
Ni1 0.218 0.782 0.636
Ni2 0.218 0.782 0.864
Ni3 0.782 0.218 0.136
Ni4 0.782 0.218 0.364